# 1
The following is a PBE calculation of crystalline Ac2LaEr at its relaxed geometry, from the Alexandria database.

Values from the calculation:
The formation energy from the elements comes out at 1.0 eV/f.u. The magnetization is 0.000 μB per cell. For the offset from the most stable computed form, the calculation gives 209 meV per atom. The space group is R-3m.

Cell: 13.3872 13.3872 13.3872 Å, 16.04 16.04 16.04°
Last column: nearest neighbours and their distance in Å.
Sites, in units of the cell vectors:
Ac  0.0871  0.0871  0.0871  1 Er 3.45, 6 Ac 3.74, 3 La 3.82
Ac  0.9129  0.9129  0.9129  1 Er 3.45, 6 Ac 3.74, 3 La 3.82
La  0.5000  0.5000  0.5000  6 La 3.74, 6 Ac 3.82
Er  0.0000  0.0000  0.0000  2 Ac 3.45, 6 Er 3.74

# 2
The following is a PBE calculation of crystalline KNaCeI6 at its relaxed geometry, from the Alexandria database.

Values from the calculation:
The magnetization is 0.000 μB per cell. Its raw total energy is -3.206 eV per atom. The space group is P-31c.

Cell: 8.1198 8.1198 15.2733 Å, 90.00 90.00 120.00°
Last column: nearest neighbours and their distance in Å.
Sites, in units of the cell vectors:
K  0.0000  0.0000  0.0000  6 I 3.59
K  0.0000  0.0000  0.5000  6 I 3.59
Na  0.3333  0.6667  0.2500  6 I 3.25
Na  0.6667  0.3333  0.7500  6 I 3.25
Ce  0.3333  0.6667  0.7500  6 I 3.04
Ce  0.6667  0.3333  0.2500  6 I 3.04
I  0.0193  0.3719  0.6341  1 Ce 3.04, 1 Na 3.25
I  0.0193  0.6475  0.8659  1 Ce 3.04, 1 Na 3.25
I  0.3525  0.3719  0.8659  1 Ce 3.04, 1 Na 3.25
I  0.3525  0.9807  0.6341  1 Ce 3.04, 1 Na 3.25
I  0.3719  0.0193  0.1341  1 Ce 3.04, 1 Na 3.25
I  0.3719  0.3525  0.3659  1 Ce 3.04, 1 Na 3.25
I  0.6281  0.6475  0.6341  1 Ce 3.04, 1 Na 3.25
I  0.6281  0.9807  0.8659  1 Ce 3.04, 1 Na 3.25
I  0.6475  0.0193  0.3659  1 Ce 3.04, 1 Na 3.25
I  0.6475  0.6281  0.1341  1 Ce 3.04, 1 Na 3.25
I  0.9807  0.3525  0.1341  1 Ce 3.04, 1 Na 3.25
I  0.9807  0.6281  0.3659  1 Ce 3.04, 1 Na 3.25

# 3
The following is a PBE calculation of crystalline SmDy3Ho4Se8 at its relaxed geometry, from the Alexandria database.

Values from the calculation:
The magnetization is 0.000 μB per cell. Its raw total energy is -5.783 eV per atom. The space group is R-3m.

Cell: 8.1608 8.1608 8.1608 Å, 59.94 59.94 59.94°
Last column: nearest neighbours and their distance in Å.
Sites, in units of the cell vectors:
Sm  0.0000  0.0000  0.0000  6 Se 2.93
Dy  0.0000  0.5000  0.5000  6 Se 2.89
Dy  0.5000  0.0000  0.5000  6 Se 2.89
Dy  0.5000  0.5000  0.0000  6 Se 2.89
Ho  0.0000  0.0000  0.5000  6 Se 2.88
Ho  0.0000  0.5000  0.0000  6 Se 2.88
Ho  0.5000  0.0000  0.0000  6 Se 2.88
Ho  0.5000  0.5000  0.5000  6 Se 2.84
Se  0.2493  0.2493  0.2493  3 Ho 2.88, 3 Dy 2.89
Se  0.2524  0.7462  0.7462  3 Ho 2.84-2.88, 2 Dy 2.89, 1 Sm 2.93
Se  0.2538  0.2538  0.7476  3 Ho 2.84-2.88, 2 Dy 2.89, 1 Sm 2.93
Se  0.2538  0.7476  0.2538  3 Ho 2.84-2.88, 2 Dy 2.89, 1 Sm 2.93
Se  0.7462  0.2524  0.7462  3 Ho 2.84-2.88, 2 Dy 2.89, 1 Sm 2.93
Se  0.7462  0.7462  0.2524  3 Ho 2.84-2.88, 2 Dy 2.89, 1 Sm 2.93
Se  0.7476  0.2538  0.2538  3 Ho 2.84-2.88, 2 Dy 2.89, 1 Sm 2.93
Se  0.7507  0.7507  0.7507  3 Ho 2.88, 3 Dy 2.89

# 4
The following is a PBE calculation of crystalline SmY2Ti at its relaxed geometry, from the Alexandria database.

Values from the calculation:
The formation energy from the elements comes out at 1.1 eV/f.u. The magnetization is 3.292 μB per cell. The space group is Fm-3m.

Cell: 5.4702 5.4702 5.4702 Å, 60.00 60.00 60.00°
Last column: nearest neighbours and their distance in Å.
Sites, in units of the cell vectors:
Sm  0.0000  0.0000  0.0000  8 Y 3.35
Y  0.2500  0.2500  0.2500  4 Sm 3.35, 4 Ti 3.35
Y  0.7500  0.7500  0.7500  4 Sm 3.35, 4 Ti 3.35
Ti  0.5000  0.5000  0.5000  8 Y 3.35

# 5
The following is a PBE calculation of crystalline SrLiDyGa at its relaxed geometry, from the Alexandria database.

Values from the calculation:
The formation energy from the elements comes out at -0.7 eV/f.u. The magnetization is 0.000 μB per cell. The space group is F-43m.

Cell: 5.3453 5.3453 5.3453 Å, 60.00 60.00 60.00°
Last column: nearest neighbours and their distance in Å.
Sites, in units of the cell vectors:
Sr  0.0000  0.0000  0.0000  4 Li 3.27, 4 Ga 3.27
Li  0.7500  0.7500  0.7500  4 Dy 3.27, 4 Sr 3.27
Dy  0.5000  0.5000  0.5000  4 Li 3.27, 4 Ga 3.27
Ga  0.2500  0.2500  0.2500  4 Dy 3.27, 4 Sr 3.27